# 1
La2YBr (PBE, optimized geometry); calculated density = 5.7 Mg/m³; crystal system = orthorhombic; uncorrected formation energy = -460 meV per atom; DOS(E_F) = 6.412 states/eV/cell
1.0
-3.309 -1.006 1.217
2.222 -2.639 -1.242
4.116 -1.296 10.119
La Br Y
2 1 1
Direct
0.500 0.500 0.262
0.000 0.000 0.976
0.500 0.500 0.737
0.000 0.000 0.526

***

# 2
La3YBr (PBE, optimized geometry); calculated density = 4.6 Mg/m³; crystal system = cubic; uncorrected formation energy = 414 meV per atom; DOS(E_F) = 13.254 states/eV/cell
1.0
-4.983 -1.704 2.824
1.800 -5.692 -0.258
2.763 0.635 5.260
La Y Br
3 1 1
Direct
0.000 0.000 0.500
0.500 0.000 0.000
0.000 0.500 0.000
0.000 0.000 0.000
0.500 0.500 0.500

***

# 3
LaY2Br (PBE, optimized geometry); calculated density = 5.2 Mg/m³; crystal system = cubic; uncorrected formation energy = 44 meV per atom; DOS(E_F) = 6.254 states/eV/cell
1.0
-0.591 -3.435 4.420
3.222 -4.595 0.444
4.023 -0.248 3.930
Br Y La
1 2 1
Direct
0.500 0.500 0.500
0.000 0.000 0.000
0.250 0.250 0.250
0.750 0.750 0.750

***

# 4
LaY2Br (PBE, optimized geometry); calculated density = 5.2 Mg/m³; crystal system = tetragonal; uncorrected formation energy = -83 meV per atom; DOS(E_F) = 6.479 states/eV/cell
1.0
6.137 0.000 0.000
0.000 4.562 0.000
0.000 0.000 4.562
La Br Y
1 1 2
Direct
0.500 0.000 0.500
0.500 0.500 0.000
0.000 0.000 0.000
0.000 0.500 0.500

***

# 5
LaY2Br (PBE, optimized geometry); calculated density = 5.2 Mg/m³; crystal system = monoclinic; uncorrected formation energy = -210 meV per atom; DOS(E_F) = 6.495 states/eV/cell
1.0
5.567 0.005 0.017
-2.754 6.360 0.000
0.059 1.083 3.560
Y Br La
2 1 1
Direct
0.500 0.000 0.500
0.000 0.000 0.000
0.000 0.500 0.500
0.500 0.500 0.000

***

# 6
LaY2Br (PBE, optimized geometry); calculated density = 5.3 Mg/m³; crystal system = orthorhombic; uncorrected formation energy = -407 meV per atom; DOS(E_F) = 6.408 states/eV/cell
1.0
-3.329 1.274 0.616
0.516 -3.561 0.375
2.468 1.446 10.341
La Y Br
1 2 1
Direct
0.500 0.500 0.750
0.000 0.000 0.026
0.000 0.000 0.474
0.500 0.500 0.250

***

# 7
La2YBr (PBE, optimized geometry); calculated density = 5.6 Mg/m³; crystal system = cubic; uncorrected formation energy = -24 meV per atom; DOS(E_F) = 4.738 states/eV/cell
1.0
-0.815 3.859 4.122
-4.198 3.834 -0.471
-4.583 -0.359 3.377
La Br Y
2 1 1
Direct
0.250 0.250 0.250
0.750 0.750 0.750
0.000 0.000 0.000
0.500 0.500 0.500

***

# 8
La2YBr (PBE, optimized geometry); calculated density = 5.7 Mg/m³; crystal system = tetragonal; uncorrected formation energy = -363 meV per atom; DOS(E_F) = 4.973 states/eV/cell
1.0
-0.236 1.622 -3.194
-0.527 -5.352 -2.678
-5.971 0.293 0.591
Y La Br
1 2 1
Direct
0.500 0.500 0.000
0.000 0.500 0.500
0.000 0.000 0.000
0.500 0.000 0.500

***

# 9
LaY2Br (PBE, optimized geometry); calculated density = 5.3 Mg/m³; crystal system = orthorhombic; uncorrected formation energy = -468 meV per atom; DOS(E_F) = 5.044 states/eV/cell
1.0
3.566 0.000 0.000
0.000 5.420 0.080
0.000 2.614 6.438
Y La Br
2 1 1
Direct
0.500 0.461 0.204
0.000 0.038 0.049
0.500 0.739 0.647
0.000 0.262 0.600

***

# 10
LaY2Br (PBE, optimized geometry); calculated density = 5.3 Mg/m³; crystal system = orthorhombic; uncorrected formation energy = -283 meV per atom; DOS(E_F) = 5.141 states/eV/cell
1.0
-1.140 0.013 -3.404
0.163 -5.920 -0.078
-5.589 -0.179 1.872
Br La Y
1 1 2
Direct
0.500 0.000 0.500
0.000 0.500 0.500
0.500 0.500 0.000
0.000 0.000 0.000

***

# 11
La2YBr (PBE, optimized geometry); calculated density = 5.7 Mg/m³; crystal system = cubic; uncorrected formation energy = 14 meV per atom; DOS(E_F) = 6.927 states/eV/cell
1.0
-0.856 -5.598 -0.317
3.907 -3.585 2.012
-1.045 -2.981 4.711
La Y Br
2 1 1
Direct
0.250 0.250 0.250
0.000 0.000 0.000
0.750 0.750 0.750
0.500 0.500 0.500

***

# 12
La2YBr (PBE, optimized geometry); calculated density = 5.8 Mg/m³; crystal system = orthorhombic; uncorrected formation energy = -353 meV per atom; DOS(E_F) = 4.290 states/eV/cell
1.0
-0.211 -1.689 -6.923
1.043 -6.603 -2.476
-3.655 4.689 3.934
La Y Br
2 1 1
Direct
0.033 0.033 0.000
0.467 0.467 0.000
0.750 0.250 0.500
0.250 0.750 0.500

***

# 13
La2YBr (PBE, optimized geometry); calculated density = 5.6 Mg/m³; crystal system = trigonal; uncorrected formation energy = -565 meV per atom; DOS(E_F) = 4.601 states/eV/cell
1.0
-3.342 -9.064 -5.292
-4.537 -9.874 -1.802
-6.672 -7.754 -4.085
Br Y La
1 1 2
Direct
0.750 0.750 0.750
0.250 0.250 0.250
0.493 0.493 0.493
0.007 0.007 0.007

***

# 14
LaYBr (PBE, optimized geometry); calculated density = 5.4 Mg/m³; crystal system = trigonal; uncorrected formation energy = -765 meV per atom; DOS(E_F) = 3.398 states/eV/cell
1.0
3.782 0.000 0.000
-1.891 3.275 0.000
0.000 0.000 7.650
Br Y La
1 1 1
Direct
0.000 0.000 0.982
0.333 0.667 0.694
0.667 0.333 0.324

***

# 15
La2YBr (PBE, optimized geometry); calculated density = 5.8 Mg/m³; crystal system = orthorhombic; uncorrected formation energy = -281 meV per atom; DOS(E_F) = 4.540 states/eV/cell
1.0
-2.852 2.173 0.525
-3.646 -4.598 -0.774
0.202 -1.140 5.816
La Br Y
2 1 1
Direct
0.000 0.000 0.000
0.500 0.500 0.000
0.000 0.500 0.500
0.500 0.000 0.500